Record 1
Here is a relaxed structure of La2AgOs from Alexandria via LeMat-Bulk. Energies are from PBE.

The space group is Immm (No. 71) and the conventional cell measures 3.146, 5.469 and 11.346 Å, with angles of 90.00, 90.00 and 90.00 degrees. The inequivalent atoms are La at (0.000, 0.000, 0.228), Ag at (0.000, 0.000, 0.500) and Os at (0.000, 0.000, 0.000).

As for the energy relative to the elements: 0.728 eV per atom.


Record 2
Here is a relaxed structure of Te2PbCl from Alexandria via LeMat-Bulk. Energies are from PBE.

The space group is R-3m (No. 166, hexagonal axes) and the conventional cell measures 4.5679, 4.5679 and 26.3906 Å, with angles of 90.00, 90.00 and 120.00 degrees. The inequivalent atoms are Te at (0.0000, 0.0000, 0.1002), Pb at (0.0000, 0.0000, 0.5000) and Cl at (0.0000, 0.0000, 0.0000).

The value obtained for the energy relative to the lowest polymorph listed for this composition is 0.313 eV per atom. The calculation puts the uncorrected formation energy at -0.08 eV/atom.


Record 3
Here is a relaxed structure of Na3BiI from Alexandria via LeMat-Bulk. Energies are from PBE.

The space group is C2/c (No. 15) and the conventional cell measures 17.760, 11.495 and 7.176 Å, with angles of 90.00, 92.61 and 90.00 degrees. The inequivalent atoms are Na at (0.100, 0.091, 0.391), Na at (0.113, 0.481, 0.553), Na at (0.187, 0.207, 0.827), Bi at (0.243, 0.039, 0.161), I at (0.000, 0.133, 0.750) and I at (0.000, 0.350, 0.250).

The value obtained for the energy relative to the lowest polymorph listed for this composition is 0.000 eV per atom. The calculation puts the uncorrected formation energy at -0.61 eV/atom.


Record 4
Here is a relaxed structure of GdThTc from Alexandria via LeMat-Bulk. Energies are from PBE.

The space group is P3m1 (No. 156) and the conventional cell measures 4.7982, 4.7982 and 3.6681 Å, with angles of 90.00, 90.00 and 120.00 degrees. The inequivalent atoms are Gd at (0.0000, 0.0000, 0.0000), Th at (0.3333, 0.6667, 0.4388) and Tc at (0.6667, 0.3333, 0.6826).

The value obtained for the energy relative to the lowest polymorph listed for this composition is 0.117 eV per atom. As for the energy relative to the elements: 0.064 eV per atom.


Record 5
Here is a relaxed structure of Sm6Y2Tm3In from Alexandria via LeMat-Bulk. Energies are from PBE.

The space group is C2/m (No. 12) and the conventional cell measures 6.131, 10.636 and 11.730 Å, with angles of 90.00, 100.10 and 90.00 degrees. The inequivalent atoms are Sm at (0.244, 0.000, 0.248), Sm at (0.247, 0.164, 0.750), Y at (0.000, 0.334, 0.500), Tm at (0.000, 0.168, 0.000), Tm at (0.000, 0.500, 0.000) and In at (0.000, 0.000, 0.500).

As for the energy relative to the elements: -0.039 eV per atom.


Record 6
Here is a relaxed structure of KSe2Cl from Alexandria via LeMat-Bulk. Energies are from PBE.

The space group is Fm-3m (No. 225) and the conventional cell measures 7.819, 7.819 and 7.819 Å, with angles of 90.00, 90.00 and 90.00 degrees. The inequivalent atoms are K at (0.000, 0.000, 0.000), Se at (0.250, 0.250, 0.250) and Cl at (0.000, 0.000, 0.500).

The value obtained for the energy relative to the lowest polymorph listed for this composition is 0.985 eV per atom. The calculation puts the uncorrected formation energy at 0.19 eV/atom.


Record 7
Here is a relaxed structure of LiTeAu2O6 from Alexandria via LeMat-Bulk. Energies are from PBE.

The space group is C2/c (No. 15) and the conventional cell measures 10.665, 9.599 and 5.268 Å, with angles of 90.00, 97.22 and 90.00 degrees. The inequivalent atoms are Li at (0.000, 0.069, 0.250), Te at (0.000, 0.263, 0.750), Au at (0.232, 0.347, 0.241), O at (0.099, 0.405, 0.940), O at (0.102, 0.108, 0.929) and O at (0.121, 0.227, 0.484).

The calculation puts the uncorrected formation energy at -0.60 eV/atom.


Record 8
Here is a relaxed structure of Be2ReH6 from Alexandria via LeMat-Bulk. Energies are from PBE.

The space group is Fm-3m (No. 225) and the conventional cell measures 6.158, 6.158 and 6.158 Å, with angles of 90.00, 90.00 and 90.00 degrees. The inequivalent atoms are Be at (0.250, 0.250, 0.250), Re at (0.000, 0.000, 0.000) and H at (0.000, 0.000, 0.277).

As for the uncorrected energy: -4.10 eV per atom.


Record 9
Here is a relaxed structure of Nd4YTm from Alexandria via LeMat-Bulk. Energies are from PBE.

The space group is P2/m (No. 10) and the conventional cell measures 5.729, 3.572 and 9.901 Å, with angles of 90.00, 90.08 and 90.00 degrees. The inequivalent atoms are Nd at (0.000, 0.000, 0.166), Nd at (0.500, 0.000, 0.331), Y at (0.000, 0.500, 0.500) and Tm at (0.500, 0.500, 0.000).

The value obtained for the energy relative to the lowest polymorph listed for this composition is 0.000 eV per atom. As for the energy relative to the elements: 0.062 eV per atom.


Record 10
Here is a relaxed structure of CoIr2Se from Alexandria via LeMat-Bulk. Energies are from PBE.

The space group is P4mm (No. 99) and the conventional cell measures 2.815, 2.815 and 7.235 Å, with angles of 90.00, 90.00 and 90.00 degrees. The inequivalent atoms are Co at (0.000, 0.000, 0.000), Ir at (0.000, 0.000, 0.495), Ir at (0.500, 0.500, 0.241) and Se at (0.500, 0.500, 0.777).

The calculation puts the uncorrected formation energy at 0.33 eV/atom.


Record 11
Here is a relaxed structure of NaV2Ru from Alexandria via LeMat-Bulk. Energies are from PBE.

The space group is Fm-3m (No. 225) and the conventional cell measures 6.201, 6.201 and 6.201 Å, with angles of 90.00, 90.00 and 90.00 degrees. The inequivalent atoms are Na at (0.000, 0.000, 0.000), V at (0.250, 0.250, 0.250) and Ru at (0.000, 0.000, 0.500).

The value obtained for the energy relative to the lowest polymorph listed for this composition is 0.000 eV per atom. As for the energy relative to the elements: 0.625 eV per atom.


Record 12
Here is a relaxed structure of AsHIrOsAu from Alexandria via LeMat-Bulk. Energies are from PBE.

The space group is Cm (No. 8) and the conventional cell measures 10.806, 2.802 and 4.837 Å, with angles of 90.00, 91.51 and 90.00 degrees. The inequivalent atoms are As at (0.000, 0.000, 0.000), H at (0.254, 0.000, 0.970), Ir at (0.163, 0.000, 0.627), Os at (0.174, 0.500, 0.170) and Au at (0.390, 0.500, 0.501).

The value obtained for the energy relative to the lowest polymorph listed for this composition is 0.036 eV per atom.